## AgAu2Se (PBE-GGA)

Data for a geometry-optimized AgAu2Se structure.

formation energy (no corrections) = 118 meV per atom
crystal system = tetragonal
DOS(E_F) = 0.5526 states/eV per atom

Geometry as CIF:
```
data_AgAu2Se
_chemical_formula_sum 'Ag1 Au2 Se1'
_space_group_name_H-M_alt 'P 4/m m m'
_space_group_IT_number 123
_space_group_name_Hall '-P 4 2'
_cell_length_a 4.1465
_cell_length_b 4.1465
_cell_length_c 4.3500
_cell_angle_alpha 90.00
_cell_angle_beta 90.00
_cell_angle_gamma 90.00
loop_
_atom_site_label
_atom_site_type_symbol
_atom_site_fract_x
_atom_site_fract_y
_atom_site_fract_z
Ag1 Ag 0.0000 0.0000 0.0000
Au1 Au 0.0000 0.5000 0.5000
Se1 Se 0.5000 0.5000 0.0000
```

=====

## ReP2BrO (PBE-GGA)

Data for a geometry-optimized ReP2BrO structure.

formation energy (no corrections) = 1625 meV per atom
crystal system = tetragonal
DOS(E_F) = 0.7947 states/eV per atom

Geometry as CIF:
```
data_ReP2BrO
_chemical_formula_sum 'Re1 P2 Br1 O1'
_space_group_name_H-M_alt 'P 4/m m m'
_space_group_IT_number 123
_space_group_name_Hall '-P 4 2'
_cell_length_a 4.8135
_cell_length_b 4.8135
_cell_length_c 3.5208
_cell_angle_alpha 90.00
_cell_angle_beta 90.00
_cell_angle_gamma 90.00
loop_
_atom_site_label
_atom_site_type_symbol
_atom_site_fract_x
_atom_site_fract_y
_atom_site_fract_z
Re1 Re 0.0000 0.0000 0.0000
P1 P 0.0000 0.5000 0.5000
Br1 Br 0.5000 0.5000 0.5000
O1 O 0.5000 0.5000 0.0000
```

=====

## PaZnIr (PBE-GGA)

Data for a geometry-optimized PaZnIr structure.

crystal system = orthorhombic
ΔE_f = -0.481 eV/atom
DOS(E_F) = 0.6883 states/eV per atom

Geometry as CIF:
```
data_PaZnIr
_chemical_formula_sum 'Pa4 Zn4 Ir4'
_space_group_name_H-M_alt 'I m m a'
_space_group_IT_number 74
_space_group_name_Hall '-I 2b 2'
_cell_length_a 4.1602
_cell_length_b 6.7706
_cell_length_c 8.2620
_cell_angle_alpha 90.00
_cell_angle_beta 90.00
_cell_angle_gamma 90.00
loop_
_atom_site_label
_atom_site_type_symbol
_atom_site_fract_x
_atom_site_fract_y
_atom_site_fract_z
Pa1 Pa 0.0000 0.0000 0.0000
Zn1 Zn 0.0000 0.2500 0.3207
Ir1 Ir 0.0000 0.2500 0.6299
```

=====

## PmPu2O11 (PBE-GGA)

Data for a geometry-optimized PmPu2O11 structure.

formation energy (no corrections) = -1900 meV per atom
crystal system = orthorhombic
DOS(E_F) = 0.3808 states/eV per atom

Geometry as CIF:
```
data_PmPu2O11
_chemical_formula_sum 'Pm4 Pu8 O44'
_space_group_name_H-M_alt 'I m a 2'
_space_group_IT_number 46
_cell_length_a 10.7476
_cell_length_b 10.1908
_cell_length_c 8.4538
_cell_angle_alpha 90.00
_cell_angle_beta 90.00
_cell_angle_gamma 90.00
loop_
_space_group_symop_operation_xyz
'x,y,z'
'-x,-y,z'
'-x+1/2,y,z'
'x+1/2,-y,z'
'x+1/2,y+1/2,z+1/2'
'-x+1/2,-y+1/2,z+1/2'
'-x,y+1/2,z+1/2'
'x,-y+1/2,z+1/2'
loop_
_atom_site_label
_atom_site_type_symbol
_atom_site_fract_x
_atom_site_fract_y
_atom_site_fract_z
Pm1 Pm 0.0000 0.0000 0.0000
Pu1 Pu 0.2500 0.2225 0.2851
Pu2 Pu 0.2500 0.7363 0.2352
O1 O 0.1269 0.1800 0.8862
O2 O 0.1272 0.6153 0.3067
O3 O 0.1268 0.6454 0.6660
O4 O 0.1275 0.1225 0.1896
O5 O 0.2500 0.0404 0.4756
O6 O 0.2500 0.0772 0.6190
O7 O 0.2500 0.6812 0.9785
```

=====

## Ta2TeC (PBE-GGA)

Data for a geometry-optimized Ta2TeC structure.

formation energy (no corrections) = 333 meV per atom
crystal system = tetragonal
DOS(E_F) = 0.3874 states/eV per atom

Geometry as CIF:
```
data_Ta2TeC
_chemical_formula_sum 'Ta8 Te4 C4'
_space_group_name_H-M_alt 'I -4 2 d'
_space_group_IT_number 122
_space_group_name_Hall 'I -4 2bw'
_cell_length_a 5.3066
_cell_length_b 5.3066
_cell_length_c 11.7227
_cell_angle_alpha 90.00
_cell_angle_beta 90.00
_cell_angle_gamma 90.00
loop_
_atom_site_label
_atom_site_type_symbol
_atom_site_fract_x
_atom_site_fract_y
_atom_site_fract_z
Ta1 Ta 0.1235 0.2500 0.1250
Te1 Te 0.0000 0.0000 0.5000
C1 C 0.0000 0.0000 0.0000
```

=====

## PaTa2Hg2Se6 (PBE-GGA)

Data for a geometry-optimized PaTa2Hg2Se6 structure.

formation energy (no corrections) = -746 meV per atom
crystal system = monoclinic
DOS(E_F) = 0.8743 states/eV per atom

Geometry as CIF:
```
data_PaTa2Hg2Se6
_chemical_formula_sum 'Pa2 Ta4 Hg4 Se12'
_space_group_name_H-M_alt 'C 1 2/m 1'
_space_group_IT_number 12
_cell_length_a 6.2392
_cell_length_b 11.2625
_cell_length_c 9.7499
_cell_angle_alpha 90.00
_cell_angle_beta 104.79
_cell_angle_gamma 90.00
loop_
_space_group_symop_operation_xyz
'x,y,z'
'-x,-y,-z'
'-x,y,-z'
'x,-y,z'
'x+1/2,y+1/2,z'
'-x+1/2,-y+1/2,-z'
'-x+1/2,y+1/2,-z'
'x+1/2,-y+1/2,z'
loop_
_atom_site_label
_atom_site_type_symbol
_atom_site_fract_x
_atom_site_fract_y
_atom_site_fract_z
Pa1 Pa 0.0000 0.0000 0.0000
Ta1 Ta 0.0000 0.3245 0.0000
Hg1 Hg 0.0000 0.1647 0.5000
Se1 Se 0.2090 0.5000 0.1707
Se2 Se 0.2409 0.1762 0.1775
```